TbHoErAg: optimized geometry, PBE.

Cell: 3.5439 3.5439 8.8410 Å, 90.00 90.00 90.00°
Space group P4mm (No. 99)
Unique sites:
1 Tb 0.0000 0.0000 0.0000 x1
2 Ho 0.5000 0.5000 0.7133 x1
3 Er 0.5000 0.5000 0.2856 x1
4 Ag 0.0000 0.0000 0.4971 x1

Summary:
The total energy comes out at -17.16 eV per cell. The total moment comes out at 0.00 μB per formula unit.